Entry 1:
Crystalline RbCuRe2 at its relaxed geometry, computed with PBE.

abc: 4.7114 4.7114 9.8915
angles: 76.22 76.22 90.00
Positions (direct):
Re1 0.3389 0.1250 0.2500
Re2 0.4111 0.6250 0.2500
Re3 0.3750 0.6611 0.7500
Re4 0.8750 0.5889 0.7500
Cu1 0.5000 0.5000 0.0000
Cu2 0.2500 0.7500 0.5000
Rb1 0.0000 0.0000 0.0000
Rb2 0.7500 0.2500 0.5000

Results
* total DFT energy (no corrections): -5.702 eV/atom
* density of states at the Fermi level: 5.18 states/eV/f.u.
* formation energy from the elements: 1.79 eV per atom
* E above lowest polymorph: 0 meV per atom



Entry 2:
Crystalline Rb2CuReS4 at its relaxed geometry, computed with PBE.

abc: 6.6072 6.6072 6.6072
angles: 100.60 114.08 114.08
Positions (direct):
Rb1 0.5000 0.7500 0.2500
Rb2 0.0000 0.0000 0.0000
Cu1 0.5000 0.2500 0.7500
Re1 0.0000 0.5000 0.5000
S1 0.6406 0.4051 0.5120
S2 0.1069 0.2354 0.5949
S3 0.8931 0.4880 0.1285
S4 0.3594 0.8715 0.7646

Results
* total DFT energy (no corrections): -4.994 eV/atom
* density of states at the Fermi level: 4.46 states/eV/f.u.
* raw formation energy: -0.6200 eV/atom



Entry 3:
Crystalline Rb2ScCuRe at its relaxed geometry, computed with PBE.

abc: 6.9599 4.6874 6.9599
angles: 90.00 90.00 90.00
Positions (direct):
Sc1 0.0000 0.0000 0.0000
Re1 0.0000 0.5000 0.0000
Cu1 0.5000 0.5000 0.5000
Rb1 0.0000 0.0000 0.5000
Rb2 0.5000 0.0000 0.0000

Results
* total DFT energy (no corrections): -3.410 eV/atom
* density of states at the Fermi level: 3.40 states/eV/f.u.
* formation energy from the elements: 1.55 eV per atom



Entry 4:
Crystalline RbCu2ReW at its relaxed geometry, computed with PBE.

abc: 4.8249 5.4897 4.8249
angles: 90.00 90.00 90.00
Positions (direct):
Re1 0.5000 0.5000 0.5000
Cu1 0.0000 0.0000 0.5000
Cu2 0.5000 0.0000 0.0000
Rb1 0.0000 0.5000 0.0000
W1 0.0000 0.0000 0.0000

Results
* total DFT energy (no corrections): -4.113 eV/atom
* density of states at the Fermi level: 5.73 states/eV/f.u.
* formation energy from the elements: 2.80 eV per atom



Entry 5:
Crystalline RbCuRh2 at its relaxed geometry, computed with PBE.

abc: 4.8266 4.8266 9.5697
angles: 75.39 75.39 90.00
Positions (direct):
Rh1 0.3748 0.1250 0.2500
Rh2 0.3752 0.6250 0.2500
Rh3 0.3750 0.6252 0.7500
Rh4 0.8750 0.6248 0.7500
Cu1 0.5000 0.5000 0.0000
Cu2 0.2500 0.7500 0.5000
Rb1 0.0000 0.0000 0.0000
Rb2 0.7500 0.2500 0.5000

Results
* total DFT energy (no corrections): -4.117 eV/atom
* density of states at the Fermi level: 5.46 states/eV/f.u.
* formation energy from the elements: 0.82 eV per atom
* E above lowest polymorph: 0 meV per atom



Entry 6:
Crystalline RbCuRh2 at its relaxed geometry, computed with PBE.

abc: 4.6770 4.6770 4.6770
angles: 60.00 60.00 60.00
Positions (direct):
Rh1 0.2500 0.2500 0.2500
Rh2 0.7500 0.7500 0.7500
Cu1 0.0000 0.0000 0.0000
Rb1 0.5000 0.5000 0.5000

Results
* total DFT energy (no corrections): -3.798 eV/atom
* density of states at the Fermi level: 12.87 states/eV/f.u.
* formation energy from the elements: 1.14 eV per atom
* E above lowest polymorph: 319 meV per atom



Entry 7:
Crystalline RbCuRhSe2 at its relaxed geometry, computed with PBE.

abc: 6.9692 5.5663 7.3185
angles: 112.35 90.00 90.00
Positions (direct):
Rb1 0.2705 0.7500 0.5000
Rb2 0.7295 0.2500 0.5000
Cu1 0.0000 0.0000 0.0000
Cu2 0.0000 0.5000 0.0000
Rh1 0.5000 0.7500 0.0000
Rh2 0.5000 0.2500 0.0000
Se1 0.7269 0.9043 0.8085
Se2 0.7269 0.5957 0.1915
Se3 0.2731 0.4043 0.8085
Se4 0.2731 0.0957 0.1915

Results
* total DFT energy (no corrections): -4.313 eV/atom
* density of states at the Fermi level: 2.58 states/eV/f.u.
* raw formation energy: -0.4363 eV/atom
* E above lowest polymorph: 0 meV per atom



Entry 8:
Crystalline RbCuRhSe2 at its relaxed geometry, computed with PBE.

abc: 4.8573 5.3521 4.8573
angles: 90.00 90.00 90.00
Positions (direct):
Cu1 0.0000 0.0000 0.0000
Rh1 0.5000 0.5000 0.5000
Se1 0.0000 0.0000 0.5000
Se2 0.5000 0.0000 0.0000
Rb1 0.0000 0.5000 0.0000

Results
* total DFT energy (no corrections): -3.247 eV/atom
* density of states at the Fermi level: 6.02 states/eV/f.u.
* raw formation energy: 0.6297 eV/atom
* E above lowest polymorph: 1066 meV per atom